Record 1
VASP calculation (PBE) on crystalline Ho3ErS3 at its relaxed geometry.

Calculated values
- energy relative to the elements, uncorrected (eV/atom) = -1.6724

Lattice parameters (Å, degrees): 10.867 10.867 5.430 90.00 90.00 90.00
Sites, in units of the cell vectors:
Ho: 0.121 0.373 0.000
Ho: 0.126 0.126 0.500
Ho: 0.127 0.621 0.500
Ho: 0.373 0.121 0.000
Ho: 0.374 0.626 0.000
Ho: 0.379 0.873 0.500
Ho: 0.621 0.127 0.500
Ho: 0.626 0.374 0.000
Ho: 0.627 0.879 0.000
Ho: 0.873 0.379 0.500
Ho: 0.874 0.874 0.500
Ho: 0.879 0.627 0.000
Er: 0.122 0.878 0.000
Er: 0.378 0.378 0.500
Er: 0.622 0.622 0.500
Er: 0.878 0.122 0.000
S: 0.125 0.125 0.000
S: 0.126 0.627 0.000
S: 0.127 0.374 0.500
S: 0.373 0.874 0.000
S: 0.374 0.127 0.500
S: 0.375 0.625 0.500
S: 0.625 0.375 0.500
S: 0.626 0.873 0.500
S: 0.627 0.126 0.000
S: 0.873 0.626 0.500
S: 0.874 0.373 0.000
S: 0.875 0.875 0.000

=====

Record 2
VASP calculation (PBE) on crystalline HoZrTe3 at its relaxed geometry.

Calculated values
- energy relative to the elements, uncorrected (eV/atom) = -1.0096

Lattice parameters (Å, degrees): 10.243 4.143 14.736 90.00 90.00 90.00
Sites, in units of the cell vectors:
Ho: 0.025 0.250 0.126
Ho: 0.475 0.750 0.626
Ho: 0.525 0.250 0.374
Ho: 0.975 0.750 0.874
Zr: 0.145 0.250 0.532
Zr: 0.355 0.750 0.032
Zr: 0.645 0.250 0.968
Zr: 0.855 0.750 0.468
Te: 0.004 0.750 0.633
Te: 0.177 0.250 0.947
Te: 0.198 0.750 0.201
Te: 0.302 0.250 0.701
Te: 0.323 0.750 0.447
Te: 0.496 0.250 0.133
Te: 0.504 0.750 0.867
Te: 0.677 0.250 0.553
Te: 0.698 0.750 0.299
Te: 0.802 0.250 0.799
Te: 0.823 0.750 0.053
Te: 0.996 0.250 0.367

=====

Record 3
VASP calculation (PBE) on crystalline Pm3Tl3In at its relaxed geometry.

Calculated values
- DFT formation energy (eV per atom) = -0.30

Lattice parameters (Å, degrees): 9.308 9.308 5.443 90.00 90.00 120.00
Sites, in units of the cell vectors:
Pm: 0.100 0.451 0.250
Pm: 0.351 0.900 0.250
Pm: 0.451 0.351 0.750
Pm: 0.549 0.649 0.250
Pm: 0.649 0.100 0.750
Pm: 0.900 0.549 0.750
Tl: 0.051 0.241 0.750
Tl: 0.190 0.949 0.750
Tl: 0.241 0.190 0.250
Tl: 0.759 0.810 0.750
Tl: 0.810 0.051 0.250
Tl: 0.949 0.759 0.250
In: 0.333 0.667 0.750
In: 0.667 0.333 0.250

=====

Record 4
VASP calculation (PBE) on crystalline Np3Hg3PdSe8 at its relaxed geometry.

Calculated values
- energy relative to the elements, uncorrected (eV/atom) = -0.6018

Lattice parameters (Å, degrees): 7.808 7.808 10.538 111.81 111.81 59.97
Sites, in units of the cell vectors:
Np: 0.000 0.000 0.000
Np: 0.000 0.500 0.000
Np: 0.500 0.000 0.000
Hg: 0.000 0.500 0.500
Hg: 0.500 0.000 0.500
Hg: 0.500 0.500 0.500
Pd: 0.500 0.500 0.000
Se: 0.224 0.224 0.173
Se: 0.236 0.715 0.165
Se: 0.285 0.285 0.835
Se: 0.285 0.764 0.835
Se: 0.715 0.236 0.165
Se: 0.715 0.715 0.165
Se: 0.764 0.285 0.835
Se: 0.776 0.776 0.827

=====

Record 5
VASP calculation (PBE) on crystalline Dy3BiCCl at its relaxed geometry.

Calculated values
- energy relative to the elements, uncorrected (eV/atom) = -0.8013

Lattice parameters (Å, degrees): 8.663 3.692 9.804 90.00 98.42 90.00
Sites, in units of the cell vectors:
Dy: 0.074 0.250 0.381
Dy: 0.130 0.250 0.885
Dy: 0.327 0.750 0.641
Dy: 0.673 0.250 0.359
Dy: 0.870 0.750 0.115
Dy: 0.926 0.750 0.619
Bi: 0.348 0.750 0.302
Bi: 0.652 0.250 0.698
C: 0.131 0.250 0.642
C: 0.869 0.750 0.358
Cl: 0.359 0.750 0.921
Cl: 0.641 0.250 0.079

=====

Record 6
VASP calculation (PBE) on crystalline NpZnIn at its relaxed geometry.

Calculated values
- DFT formation energy (eV per atom) = 0.07

Lattice parameters (Å, degrees): 5.002 5.002 2.981 90.00 90.00 120.00
Sites, in units of the cell vectors:
Np: 0.000 0.000 0.000
Zn: 0.333 0.667 0.500
In: 0.667 0.333 0.500

=====

Record 7
VASP calculation (PBE) on crystalline Ru2PbC at its relaxed geometry.

Calculated values
- DFT formation energy (eV per atom) = 0.63
- relative energy among the computed polymorphs (meV per atom) = 0.0

Lattice parameters (Å, degrees): 5.946 5.946 5.946 122.97 122.97 84.93
Sites, in units of the cell vectors:
Ru: 0.001 0.625 0.876
Ru: 0.375 0.251 0.376
Ru: 0.749 0.125 0.124
Ru: 0.875 0.999 0.624
Pb: 0.250 0.750 0.500
Pb: 0.500 0.500 0.000
C: 0.000 0.000 0.000
C: 0.750 0.250 0.500

=====

Record 8
VASP calculation (PBE) on crystalline Cd2SnHgSb at its relaxed geometry.

Calculated values
- energy relative to the elements, uncorrected (eV/atom) = 0.4527

Lattice parameters (Å, degrees): 5.280 5.280 5.755 90.00 90.00 90.00
Sites, in units of the cell vectors:
Cd: 0.000 0.500 0.000
Cd: 0.500 0.000 0.000
Sn: 0.000 0.000 0.500
Hg: 0.000 0.000 0.000
Sb: 0.500 0.500 0.500

=====

> Number 4 is which compound?

Np3Hg3PdSe8